# Tl3HgSe

Tl3HgSe after structural relaxation (GGA-PBE, Alexandria).

## Properties
Final energy (eV per atom): -2.33

The structure in extended XYZ format:
```
10
Lattice="6.269 -3.004 0.000 6.269 3.004 0.000 -4.232 0.000 8.422" Properties=species:S:1:pos:R:3 pbc="T T T"
Tl -0.439 0.000 4.119
Tl 3.043 0.000 2.286
Tl 0.490 0.000 7.677
Tl 7.815 0.000 0.746
Tl 5.263 0.000 6.137
Tl 8.744 0.000 4.303
Hg -2.886 0.000 7.512
Hg 11.192 0.000 0.910
Se 2.359 0.000 5.350
Se 5.946 0.000 3.073
```

# Tb2CdCu

Tb2CdCu after structural relaxation (GGA-PBE, Alexandria).

## Properties
Formation enthalpy at 0 K (meV/atom): 201

The structure in extended XYZ format:
```
12
Lattice="3.424 0.000 0.000 -1.712 2.965 0.000 0.000 0.000 32.217" Properties=species:S:1:pos:R:3 pbc="T T T"
Tb 0.000 0.000 3.273
Tb 0.000 0.000 28.944
Tb 0.000 1.977 18.205
Tb 0.000 1.977 24.751
Tb 1.712 0.988 7.466
Tb 1.712 0.988 14.012
Cd 0.000 0.000 0.000
Cd 0.000 1.977 21.478
Cd 1.712 0.988 10.739
Cu 0.000 0.000 16.109
Cu 0.000 1.977 5.370
Cu 1.712 0.988 26.848
```

# PmHoNiAu

PmHoNiAu after structural relaxation (GGA-PBE, Alexandria).

## Properties
Formation enthalpy at 0 K (meV/atom): -598

The structure in extended XYZ format:
```
8
Lattice="4.599 0.000 0.000 0.000 3.832 0.000 0.000 0.000 10.446" Properties=species:S:1:pos:R:3 pbc="T T T"
Pm 0.000 0.000 0.000
Pm 0.000 1.916 5.223
Ho 2.300 0.000 2.933
Ho 2.300 1.916 8.156
Ni 0.000 0.000 7.572
Ni 0.000 1.916 2.349
Au 2.300 0.000 5.923
Au 2.300 1.916 0.700
```

Values of theoretical density, in order: 9.35; 7.52; 10.20, all in g/cm3.